Entry 1:
Si2P | GGA-PBE | optimized geometry

Summary:
ΔE to the lowest computed polymorph ... 401 meV per atom
Uncorrected formation energy ... 405 meV/atom
Space-group type ... I4/mcm (140)

a = 4.987 Å, b = 4.987 Å, c = 4.987 Å
α = 116.40°, β = 116.40°, γ = 96.36°
Fractional coordinates of all 6 atoms:
1 Si 0.336 0.164 0.500
2 Si 0.664 0.836 0.500
3 Si 0.164 0.664 0.828
4 Si 0.836 0.336 0.172
5 P 0.750 0.750 0.000
6 P 0.250 0.250 0.000

Entry 2:
ZrCr2Si | GGA-PBE | optimized geometry

Summary:
Uncorrected formation energy ... -90 meV/atom
Space-group type ... Pm (6)

a = 4.075 Å, b = 3.118 Å, c = 4.830 Å
α = 76.68°, β = 90.00°, γ = 90.00°
Fractional coordinates of all 4 atoms:
1 Cr 0.000 0.035 0.085
2 Cr 0.500 0.335 0.209
3 Si 0.000 0.357 0.497
4 Zr 0.500 0.772 0.709

Entry 3:
UTePd4 | GGA-PBE | optimized geometry

Summary:
Uncorrected formation energy ... -333 meV/atom
Space-group type ... F-43m (216)

a = 5.411 Å, b = 5.411 Å, c = 5.411 Å
α = 60.00°, β = 60.00°, γ = 60.00°
Fractional coordinates of all 6 atoms:
1 Te 0.000 0.000 0.000
2 U 0.250 0.250 0.250
3 Pd 0.624 0.624 0.128
4 Pd 0.624 0.128 0.624
5 Pd 0.624 0.624 0.624
6 Pd 0.128 0.624 0.624

Entry 4:
TiRh6W2 | GGA-PBE | optimized geometry

Summary:
Energy relative to the elements ... -0.073 eV per atom
Space-group type ... Immm (71)

a = 2.754 Å, b = 13.407 Å, c = 7.792 Å
α = 149.35°, β = 100.18°, γ = 90.00°
Fractional coordinates of all 9 atoms:
1 Ti 0.000 0.500 0.000
2 Rh 0.322 0.491 0.645
3 Rh 0.678 0.509 0.355
4 Rh 0.678 0.846 0.355
5 Rh 0.500 0.147 0.000
6 Rh 0.500 0.853 0.000
7 Rh 0.322 0.154 0.645
8 W 0.176 0.176 0.352
9 W 0.824 0.824 0.648

Entry 5:
K4Ce3CrSe8 | GGA-PBE | optimized geometry

Summary:
Uncorrected formation energy ... -1438 meV/atom
Space-group type ... R-3m (166)

a = 8.509 Å, b = 9.094 Å, c = 8.509 Å
α = 117.90°, β = 119.97°, γ = 90.02°
Fractional coordinates of all 16 atoms:
1 K 0.500 0.000 0.000
2 K 0.500 0.000 0.500
3 K 0.000 0.000 0.000
4 K 0.000 0.000 0.500
5 Ce 0.500 0.500 0.000
6 Ce 0.500 0.500 0.500
7 Ce 0.000 0.500 0.500
8 Cr 0.000 0.500 0.000
9 Se 0.226 0.700 0.974
10 Se 0.226 0.700 0.451
11 Se 0.262 0.287 0.525
12 Se 0.749 0.700 0.974
13 Se 0.251 0.300 0.026
14 Se 0.738 0.713 0.475
15 Se 0.774 0.300 0.549
16 Se 0.774 0.300 0.026

Entry 6:
Nd12Cd3N5 | GGA-PBE | optimized geometry

Summary:
Uncorrected formation energy ... -643 meV/atom
Space-group type ... Ia-3d (230)

a = 14.075 Å, b = 14.075 Å, c = 14.075 Å
α = 109.47°, β = 109.47°, γ = 109.47°
Fractional coordinates of all 80 atoms:
1 N 0.125 0.375 0.250
2 N 0.000 0.500 0.000
3 N 0.000 0.000 0.000
4 N 0.375 0.250 0.125
5 N 0.500 0.000 0.500
6 N 0.500 0.500 0.000
7 N 0.125 0.750 0.375
8 N 0.750 0.125 0.875
9 N 0.750 0.625 0.375
10 N 0.375 0.125 0.750
11 N 0.625 0.875 0.250
12 N 0.500 0.500 0.500
13 N 0.500 0.000 0.000
14 N 0.000 0.000 0.500
15 N 0.250 0.375 0.625
16 N 0.250 0.875 0.125
17 N 0.000 0.500 0.500
18 N 0.875 0.250 0.625
19 N 0.625 0.750 0.875
20 N 0.875 0.625 0.750
21 Nd 0.697 0.108 0.011
22 Nd 0.314 0.511 0.403
23 Nd 0.989 0.392 0.303
24 Nd 0.511 0.197 0.108
25 Nd 0.588 0.697 0.686
26 Nd 0.989 0.597 0.186
27 Nd 0.314 0.803 0.412
28 Nd 0.097 0.912 0.108
29 Nd 0.597 0.989 0.686
30 Nd 0.697 0.588 0.186
31 Nd 0.803 0.489 0.392
32 Nd 0.814 0.903 0.011
33 Nd 0.108 0.697 0.511
34 Nd 0.392 0.403 0.088
35 Nd 0.088 0.903 0.392
36 Nd 0.412 0.108 0.597
37 Nd 0.088 0.186 0.197
38 Nd 0.489 0.686 0.097
39 Nd 0.814 0.912 0.303
40 Nd 0.108 0.412 0.097
41 Nd 0.392 0.989 0.803
42 Nd 0.597 0.608 0.412
43 Nd 0.903 0.814 0.511
44 Nd 0.803 0.314 0.912
45 Nd 0.403 0.392 0.588
46 Nd 0.097 0.186 0.489
47 Nd 0.197 0.686 0.088
48 Nd 0.186 0.088 0.697
49 Nd 0.608 0.011 0.197
50 Nd 0.892 0.588 0.903
51 Nd 0.511 0.314 0.903
52 Nd 0.588 0.892 0.403
53 Nd 0.912 0.814 0.803
54 Nd 0.912 0.097 0.608
55 Nd 0.892 0.303 0.489
56 Nd 0.186 0.097 0.989
57 Nd 0.608 0.597 0.912
58 Nd 0.403 0.011 0.314
59 Nd 0.303 0.412 0.814
60 Nd 0.197 0.511 0.608
61 Nd 0.903 0.088 0.892
62 Nd 0.686 0.197 0.588
63 Nd 0.489 0.803 0.892
64 Nd 0.011 0.403 0.814
65 Nd 0.412 0.303 0.314
66 Nd 0.011 0.608 0.697
67 Nd 0.686 0.489 0.597
68 Nd 0.303 0.892 0.989
69 Cd 0.750 0.375 0.125
70 Cd 0.875 0.750 0.125
71 Cd 0.375 0.750 0.625
72 Cd 0.250 0.125 0.375
73 Cd 0.875 0.125 0.250
74 Cd 0.375 0.625 0.250
75 Cd 0.625 0.375 0.750
76 Cd 0.125 0.875 0.750
77 Cd 0.750 0.875 0.625
78 Cd 0.625 0.250 0.375
79 Cd 0.125 0.250 0.875
80 Cd 0.250 0.625 0.875

Entry 7:
CsAgS5 | GGA-PBE | optimized geometry

Summary:
Uncorrected formation energy ... -234 meV/atom
Space-group type ... C2/c (15)

a = 9.612 Å, b = 9.612 Å, c = 9.741 Å
α = 98.45°, β = 98.45°, γ = 138.80°
Fractional coordinates of all 14 atoms:
1 Cs 0.598 0.902 0.250
2 Cs 0.402 0.098 0.750
3 Ag 0.000 0.000 0.000
4 Ag 0.500 0.500 0.500
5 S 0.081 0.307 0.137
6 S 0.761 0.915 0.618
7 S 0.807 0.581 0.637
8 S 0.394 0.106 0.250
9 S 0.585 0.739 0.882
10 S 0.415 0.261 0.118
11 S 0.606 0.894 0.750
12 S 0.193 0.419 0.363
13 S 0.239 0.085 0.382
14 S 0.919 0.693 0.863

Entry 8:
NaAcPdO3 | GGA-PBE | optimized geometry

Summary:
Uncorrected formation energy ... -1895 meV/atom
Space-group type ... C2/m (12)

a = 4.040 Å, b = 7.167 Å, c = 7.038 Å
α = 107.01°, β = 90.00°, γ = 106.37°
Fractional coordinates of all 12 atoms:
1 Na 0.360 0.719 0.926
2 Na 0.640 0.281 0.074
3 Ac 0.652 0.304 0.602
4 Ac 0.348 0.696 0.398
5 Pd 0.003 0.007 0.238
6 Pd 0.997 0.993 0.762
7 O 0.845 0.689 0.172
8 O 0.837 0.674 0.652
9 O 0.506 0.011 0.280
10 O 0.163 0.326 0.348
11 O 0.494 0.989 0.720
12 O 0.155 0.311 0.828

Entry 9:
KNa3Hg | GGA-PBE | optimized geometry

Summary:
Energy relative to the elements ... -0.065 eV per atom
ΔE to the lowest computed polymorph ... 0 meV per atom
Space-group type ... Pm-3m (221)

a = 5.988 Å, b = 5.988 Å, c = 5.988 Å
α = 90.00°, β = 90.00°, γ = 90.00°
Fractional coordinates of all 5 atoms:
1 Na 0.000 0.500 0.000
2 Na 0.000 0.000 0.500
3 Na 0.500 0.000 0.000
4 K 0.500 0.500 0.500
5 Hg 0.000 0.000 0.000

Entry 10:
Ce6GaO12 | GGA-PBE | optimized geometry

Summary:
Uncorrected formation energy ... -3217 meV/atom
Space-group type ... R-3 (148)

a = 6.635 Å, b = 6.635 Å, c = 6.635 Å
α = 99.05°, β = 99.05°, γ = 99.05°
Fractional coordinates of all 19 atoms:
1 Ce 0.712 0.866 0.400
2 Ce 0.600 0.288 0.134
3 Ce 0.134 0.600 0.288
4 Ce 0.288 0.134 0.600
5 Ce 0.400 0.712 0.866
6 Ce 0.866 0.400 0.712
7 Ga 0.000 0.000 0.000
8 O 0.823 0.564 0.410
9 O 0.410 0.823 0.564
10 O 0.564 0.410 0.823
11 O 0.177 0.436 0.590
12 O 0.590 0.177 0.436
13 O 0.436 0.590 0.177
14 O 0.067 0.949 0.304
15 O 0.051 0.696 0.933
16 O 0.696 0.933 0.051
17 O 0.933 0.051 0.696
18 O 0.949 0.304 0.067
19 O 0.304 0.067 0.949

Entry 11:
Ca2YInCl8 | GGA-PBE | optimized geometry

Summary:
Uncorrected formation energy ... -2067 meV/atom
Space-group type ... P2/m (10)

a = 6.644 Å, b = 6.404 Å, c = 8.714 Å
α = 90.00°, β = 90.00°, γ = 89.61°
Fractional coordinates of all 12 atoms:
1 Ca 0.500 0.500 0.747
2 Ca 0.500 0.500 0.253
3 Y 0.000 0.000 0.000
4 In 0.000 0.000 0.500
5 Cl 0.175 0.769 0.213
6 Cl 0.682 0.730 0.000
7 Cl 0.825 0.231 0.213
8 Cl 0.825 0.231 0.787
9 Cl 0.318 0.270 0.000
10 Cl 0.175 0.769 0.787
11 Cl 0.638 0.717 0.500
12 Cl 0.362 0.283 0.500

Entry 12:
K4Pr3ErSe8 | GGA-PBE | optimized geometry

Summary:
Uncorrected formation energy ... -1746 meV/atom
Space-group type ... R-3m (166)

a = 8.663 Å, b = 9.192 Å, c = 8.664 Å
α = 118.13°, β = 120.00°, γ = 90.00°
Fractional coordinates of all 16 atoms:
1 K 0.500 0.000 0.000
2 K 0.500 0.000 0.500
3 K 0.000 0.000 0.000
4 K 0.000 0.000 0.500
5 Pr 0.500 0.500 0.000
6 Pr 0.500 0.500 0.500
7 Pr 0.000 0.500 0.500
8 Er 0.000 0.500 0.000
9 Se 0.231 0.709 0.978
10 Se 0.231 0.709 0.462
11 Se 0.262 0.286 0.524
12 Se 0.747 0.709 0.978
13 Se 0.253 0.291 0.022
14 Se 0.738 0.714 0.476
15 Se 0.769 0.291 0.538
16 Se 0.769 0.291 0.022

Entry 13:
LiPm2Cu3Si4 | GGA-PBE | optimized geometry

Summary:
Uncorrected formation energy ... -509 meV/atom
Space-group type ... P-4m2 (115)

a = 4.090 Å, b = 4.090 Å, c = 9.995 Å
α = 90.00°, β = 90.00°, γ = 90.00°
Fractional coordinates of all 10 atoms:
1 Li 0.500 0.500 0.500
2 Pm 0.500 0.000 0.248
3 Pm 0.000 0.500 0.752
4 Cu 0.000 0.000 0.500
5 Cu 0.500 0.000 0.873
6 Cu 0.000 0.500 0.127
7 Si 0.500 0.500 0.000
8 Si 0.000 0.000 0.000
9 Si 0.500 0.000 0.635
10 Si 0.000 0.500 0.365

Entry 14:
Ag2OsRh | GGA-PBE | optimized geometry

Summary:
Energy relative to the elements ... 0.517 eV per atom
ΔE to the lowest computed polymorph ... 252 meV per atom
Space-group type ... C2/m (12)

a = 5.009 Å, b = 5.009 Å, c = 4.826 Å
α = 81.48°, β = 81.48°, γ = 31.67°
Fractional coordinates of all 4 atoms:
1 Ag 0.251 0.251 0.750
2 Ag 0.749 0.749 0.250
3 Os 0.000 0.000 0.500
4 Rh 0.500 0.500 0.000

Entry 15:
LiDyGe2 | GGA-PBE | optimized geometry

Summary:
Energy relative to the elements ... -0.549 eV per atom
ΔE to the lowest computed polymorph ... 71 meV per atom
Space-group type ... P4/mmm (123)

a = 4.164 Å, b = 4.303 Å, c = 4.303 Å
α = 90.00°, β = 90.00°, γ = 90.00°
Fractional coordinates of all 4 atoms:
1 Ge 0.000 0.000 0.500
2 Ge 0.000 0.500 0.000
3 Li 0.500 0.500 0.500
4 Dy 0.500 0.000 0.000

Entry 16:
HoAl2Cu4 | GGA-PBE | optimized geometry

Summary:
Energy relative to the elements ... -0.347 eV per atom
ΔE to the lowest computed polymorph ... 0 meV per atom
Space-group type ... I4/mmm (139)

a = 5.125 Å, b = 5.200 Å, c = 5.200 Å
α = 75.95°, β = 60.48°, γ = 60.48°
Fractional coordinates of all 7 atoms:
1 Ho 0.000 0.000 0.000
2 Cu 0.691 0.000 0.617
3 Cu 0.309 0.000 0.383
4 Cu 0.309 0.383 0.000
5 Cu 0.691 0.617 0.000
6 Al 0.750 0.500 0.500
7 Al 0.250 0.500 0.500

Entry 17:
ZrOs2Br | GGA-PBE | optimized geometry

Summary:
ΔE to the lowest computed polymorph ... 524 meV per atom
Uncorrected formation energy ... 643 meV/atom
Space-group type ... Imm2 (44)

a = 5.553 Å, b = 5.553 Å, c = 5.553 Å
α = 147.99°, β = 129.69°, γ = 60.88°
Fractional coordinates of all 4 atoms:
1 Os 0.001 0.001 0.000
2 Os 0.776 0.276 0.500
3 Br 0.240 0.740 0.500
4 Zr 0.483 0.483 0.000

Entry 18:
TmSi2RuRh | GGA-PBE | optimized geometry

Summary:
Uncorrected formation energy ... -1030 meV/atom
Space-group type ... I-4m2 (119)

a = 4.108 Å, b = 4.108 Å, c = 5.649 Å
α = 111.32°, β = 111.32°, γ = 90.00°
Fractional coordinates of all 5 atoms:
1 Tm 0.000 0.000 0.000
2 Si 0.626 0.626 0.252
3 Si 0.374 0.374 0.748
4 Ru 0.250 0.750 0.500
5 Rh 0.750 0.250 0.500

Entry 19:
Sc2InRh | GGA-PBE | optimized geometry

Summary:
Energy relative to the elements ... -0.261 eV per atom
Space-group type ... R-3m (166)

a = 9.617 Å, b = 9.617 Å, c = 9.617 Å
α = 20.98°, β = 20.98°, γ = 20.98°
Fractional coordinates of all 4 atoms:
1 Sc 0.891 0.891 0.891
2 Sc 0.109 0.109 0.109
3 Rh 0.500 0.500 0.500
4 In 0.000 0.000 0.000

Entry 20:
LiZnPd4 | GGA-PBE | optimized geometry

Summary:
Energy relative to the elements ... -0.080 eV per atom
ΔE to the lowest computed polymorph ... 275 meV per atom
Space-group type ... Fddd (70)

a = 5.790 Å, b = 5.790 Å, c = 7.093 Å
α = 114.46°, β = 114.46°, γ = 89.17°
Fractional coordinates of all 12 atoms:
1 Li 0.125 0.875 0.750
2 Li 0.875 0.125 0.250
3 Zn 0.375 0.625 0.250
4 Zn 0.625 0.375 0.750
5 Pd 0.002 0.244 0.002
6 Pd 0.500 0.758 0.002
7 Pd 0.242 0.500 0.498
8 Pd 0.758 0.500 0.502
9 Pd 0.244 0.002 0.502
10 Pd 0.500 0.242 0.998
11 Pd 0.756 0.998 0.498
12 Pd 0.998 0.756 0.998

| no. | M_tot (μB/atom) |
| --- | --- |
| 1 | 0.0000 |
| 2 | 0.0005 |
| 3 | 0.2845 |
| 4 | 0.0000 |
| 5 | 0.2892 |
| 6 | 0.0000 |
| 7 | 0.0000 |
| 8 | 0.0000 |
| 9 | 0.0000 |
| 10 | 0.1660 |
| 11 | 0.0000 |
| 12 | 0.0000 |
| 13 | 0.0000 |
| 14 | 0.0022 |
| 15 | 0.0000 |
| 16 | 0.0000 |
| 17 | 0.0000 |
| 18 | 0.0000 |
| 19 | 0.0000 |
| 20 | 0.0000 |